# 1
Compound: ZrSc2Zn3
Source: Alexandria via LeMat-Bulk
Functional: PBE
Structure: relaxed

## Properties
Energy above the lowest structure with this stoichiometry: 0.00 eV per formula unit
Energy relative to the elements: -32.3 kJ per mole of atoms
Space group: No. 123
Uncorrected energy: -4.5068 eV/atom

Lattice parameters (Å, degrees): 3.343 3.343 10.058 90.00 90.00 90.00
Fractional coordinates of all 6 atoms:
Zr1 0.000 0.000 0.000
Sc1 0.000 0.000 0.333
Sc2 0.000 0.000 0.667
Zn1 0.500 0.500 0.169
Zn2 0.500 0.500 0.500
Zn3 0.500 0.500 0.831


# 2
Compound: CaSiMo
Source: Alexandria via LeMat-Bulk
Functional: PBE
Structure: relaxed

## Properties
Energy relative to the elements, uncorrected: 0.1955 eV/atom
Space group: No. 42
Uncorrected energy: -5.8897 eV/atom

Lattice parameters (Å, degrees): 6.907 6.763 3.000 80.02 74.65 25.33
Fractional coordinates of all 3 atoms:
Ca1 0.000 0.000 0.000
Si1 0.678 0.678 0.322
Mo1 0.304 0.304 0.696


# 3
Compound: CsSrBr3
Source: Alexandria via LeMat-Bulk
Functional: PBE
Structure: relaxed

## Properties
Energy relative to the elements, uncorrected: -1.8695 eV/atom
Space group: No. 38
Uncorrected energy: -3.3803 eV/atom

Lattice parameters (Å, degrees): 4.619 7.281 7.281 95.82 90.00 90.00
Fractional coordinates of all 5 atoms:
Cs1 0.000 0.000 0.000
Sr1 0.500 0.552 0.552
Br1 0.000 0.469 0.814
Br2 0.000 0.814 0.469
Br3 0.500 0.258 0.258